The following is a DFT calculation (GGA-PBE) of Na2CuAg after structural relaxation.

Calculated values
Fermi-level density of states: 0.391 states/eV/atom
space group: R-3m
density: 4.38 g/cm3
energy above the most stable polymorph in this dataset: 99 meV/atom

Structure (CIF):
```
data_Na2CuAg
_cell_length_a 10.739
_cell_length_b 10.739
_cell_length_c 10.739
_cell_angle_alpha 16.04
_cell_angle_beta 16.04
_cell_angle_gamma 16.04
_space_group_name_H-M_alt 'P 1'
_space_group_IT_number 1
loop_
_space_group_symop_operation_xyz
'x,y,z'
loop_
_atom_site_label
_atom_site_type_symbol
_atom_site_fract_x
_atom_site_fract_y
_atom_site_fract_z
Na1 Na 0.086 0.086 0.086
Na2 Na 0.914 0.914 0.914
Cu1 Cu 0.000 0.000 0.000
Ag1 Ag 0.500 0.500 0.500
```